A plane-wave DFT calculation with GGA-PBE was carried out for a geometry-optimized NaCa3Te4 structure.

Lattice parameters (Å, degrees): 6.3901 6.3901 6.3901 90.00 90.00 90.00
Each line ends with the local moment (μB).
Sites, in units of the cell vectors:
Te: 0.5000 0.0000 0.0000  0.06
Te: 0.0000 0.0000 0.5000  0.06
Te: 0.0000 0.5000 0.0000  0.06
Te: 0.5000 0.5000 0.5000  0.00
Ca: 0.5000 0.0000 0.5000  0.00
Ca: 0.5000 0.5000 0.0000  0.00
Ca: 0.0000 0.5000 0.5000  0.00
Na: 0.0000 0.0000 0.0000  0.00

Values from the calculation:
total magnetization = 0.3 μB/f.u.
formation energy from raw total energies = -1324 meV per atom
DOS(E_F) = 0.89 states/eV per atom
calculated total energy = -3.810 eV per atom

A plane-wave DFT calculation with GGA-PBE was carried out for a geometry-optimized BaCdSCl2 structure.

Lattice parameters (Å, degrees): 5.8449 5.8449 6.1973 90.00 90.00 90.00
Sites, in units of the cell vectors:
Cl: 0.0000 0.5000 0.0000
Cl: 0.5000 0.0000 0.0000
Cd: 0.5000 0.5000 0.5000
S: 0.0000 0.0000 0.5000
Ba: 0.0000 0.0000 0.0000

Values from the calculation:
total magnetization = 0.0 μB/f.u.
E above lowest polymorph = 3.43 eV/f.u.
formation energy from raw total energies = -753 meV per atom
DOS(E_F) = 1.12 states/eV per atom
calculated total energy = -2.885 eV per atom

A plane-wave DFT calculation with GGA-PBE was carried out for a geometry-optimized Re5Hg structure.

Lattice parameters (Å, degrees): 5.1940 5.1940 5.1940 60.00 60.00 60.00
Sites, in units of the cell vectors:
Hg: 0.0000 0.0000 0.0000
Re: 0.6257 0.6257 0.1230
Re: 0.6257 0.1230 0.6257
Re: 0.1230 0.6257 0.6257
Re: 0.2500 0.2500 0.2500
Re: 0.6257 0.6257 0.6257

Values from the calculation:
total magnetization = 0.0 μB/f.u.
E above lowest polymorph = 2.09 eV/f.u.
DOS(E_F) = 0.89 states/eV per atom
calculated total energy = -9.720 eV per atom

A plane-wave DFT calculation with GGA-PBE was carried out for a geometry-optimized Tl2RhCl2 structure.

Lattice parameters (Å, degrees): 7.5172 7.5172 4.7358 90.00 90.00 90.00
Each line ends with the local moment (μB).
Sites, in units of the cell vectors:
Cl: 0.6573 0.8427 0.5000  0.02
Cl: 0.1573 0.6573 0.5000  0.02
Cl: 0.8427 0.3427 0.5000  0.02
Cl: 0.3427 0.1573 0.5000  0.02
Tl: 0.3210 0.8210 0.0000  0.00
Tl: 0.8210 0.6790 0.0000  0.00
Tl: 0.6790 0.1790 0.0000  0.00
Tl: 0.1790 0.3210 0.0000  0.00
Rh: 0.5000 0.5000 0.0000  0.78
Rh: 0.0000 0.0000 0.0000  0.77

Values from the calculation:
total magnetization = 0.9 μB/f.u.
E above lowest polymorph = 0.00 eV/f.u.
formation energy from raw total energies = -84 meV per atom
DOS(E_F) = 0.26 states/eV per atom
calculated total energy = -3.239 eV per atom

A plane-wave DFT calculation with GGA-PBE was carried out for a geometry-optimized Cd2NiRh2 structure.

Lattice parameters (Å, degrees): 6.3337 6.3337 4.2915 90.00 90.00 90.00
Each line ends with the local moment (μB).
Sites, in units of the cell vectors:
Cd: 0.8298 0.3298 0.5000  0.00
Cd: 0.1702 0.6702 0.5000  0.00
Cd: 0.3298 0.1702 0.5000  0.00
Cd: 0.6702 0.8298 0.5000  0.00
Rh: 0.6384 0.1384 0.0000  0.10
Rh: 0.8616 0.6384 0.0000  0.07
Rh: 0.1384 0.3616 0.0000  0.07
Rh: 0.3616 0.8616 0.0000  0.10
Ni: 0.5000 0.5000 0.0000  0.42
Ni: 0.0000 0.0000 0.0000  0.42

Values from the calculation:
total magnetization = 0.6 μB/f.u.
DOS(E_F) = 1.36 states/eV per atom
calculated total energy = -4.355 eV per atom

A plane-wave DFT calculation with GGA-PBE was carried out for a geometry-optimized NbSbMo structure.

Lattice parameters (Å, degrees): 3.1645 4.6074 11.5107 116.74 90.00 110.09
Sites, in units of the cell vectors:
Nb: 0.1765 0.3531 0.0742
Nb: 0.8235 0.6469 0.9258
Sb: 0.6769 0.3537 0.6434
Sb: 0.3231 0.6463 0.3566
Mo: 0.0600 0.1201 0.7979
Mo: 0.9400 0.8799 0.2021

Values from the calculation:
total magnetization = 0.0 μB/f.u.
formation energy from raw total energies = 462 meV per atom
DOS(E_F) = 0.93 states/eV per atom
calculated total energy = -7.879 eV per atom